# MgZrSi

Crystalline MgZrSi at its relaxed geometry (PBE, Alexandria via LeMat-Bulk).

a b c (Å): 3.088 3.088 7.210
angles (deg): 90.00 90.00 120.00
Fractional coordinates of all 3 atoms:
Mg 0.000 0.000 0.000
Zr 0.333 0.667 0.623
Si 0.667 0.333 0.311

Results
Size of the total moment ... 0.0 μB per formula unit
ρ ... 4.004 g/cm³
Raw formation energy ... -0.014 eV per atom